No. 1
Material: ReSe4Cl6
Method: DFT, PBE-GGA
State: optimized geometry

Results
spin magnetization	0.273	μB/atom
DFT total energy	-3.78	eV/atom

The structure in extended XYZ format:
```
44
Lattice="10.6440 0.0000 0.0000 0.0000 11.0333 0.0000 0.0000 0.0000 10.4147" Properties=species:S:1:pos:R:3 pbc="T T T"
Re 0.0000 0.0000 0.0000
Re 0.0000 5.5166 5.2073
Re 5.3220 0.0000 5.2073
Re 5.3220 5.5166 0.0000
Se 0.9494 1.1215 4.4236
Se 0.9494 4.3952 9.6310
Se 1.1628 6.6609 10.1776
Se 1.1628 9.8891 4.9702
Se 4.1592 6.6609 4.9702
Se 4.1592 9.8891 10.1776
Se 4.3726 1.1215 9.6310
Se 4.3726 4.3952 4.4236
Se 6.2714 6.6381 5.9910
Se 6.2714 9.9118 0.7837
Se 6.4848 1.1442 0.2371
Se 6.4848 4.3724 5.4445
Se 9.4812 1.1442 5.4445
Se 9.4812 4.3724 0.2371
Se 9.6946 6.6381 0.7837
Se 9.6946 9.9118 5.9910
Cl 0.9295 7.2978 6.4620
Cl 0.9295 9.2521 1.2546
Cl 1.3808 1.5181 1.1208
Cl 1.3808 3.9986 6.3281
Cl 1.6708 5.8103 3.5508
Cl 1.6708 10.7397 8.7582
Cl 3.6512 5.8103 8.7582
Cl 3.6512 10.7397 3.5508
Cl 3.9412 1.5181 6.3281
Cl 3.9412 3.9986 1.1208
Cl 4.3925 7.2978 1.2546
Cl 4.3925 9.2521 6.4620
Cl 6.2515 1.7812 3.9527
Cl 6.2515 3.7355 9.1600
Cl 6.7028 7.0347 9.2939
Cl 6.7028 9.5152 4.0866
Cl 6.9928 0.2936 6.8639
Cl 6.9928 5.2230 1.6565
Cl 8.9732 0.2936 1.6565
Cl 8.9732 5.2230 6.8639
Cl 9.2632 7.0347 4.0866
Cl 9.2632 9.5152 9.2939
Cl 9.7145 1.7812 9.1600
Cl 9.7145 3.7355 3.9527
```

No. 2
Material: HfTcNO
Method: DFT, PBE-GGA
State: optimized geometry

Results
offset from the most stable computed form	178.2	meV/atom
spin magnetization	0.002	μB/atom

The structure in extended XYZ format:
```
8
Lattice="4.4034 0.0000 0.0000 0.0000 4.4034 0.0000 0.0000 0.0000 4.4742" Properties=species:S:1:pos:R:3 pbc="T T T"
Hf 1.1008 3.3025 0.0000
Hf 3.3025 1.1008 0.0000
Tc 1.1008 1.1008 1.9195
Tc 3.3025 3.3025 2.5547
N 1.1008 1.1008 4.1619
N 3.3025 3.3025 0.3123
O 1.1008 3.3025 2.2371
O 3.3025 1.1008 2.2371
```

No. 3
Material: AlCoCuS4
Method: DFT, PBE-GGA
State: optimized geometry

Results
spin magnetization	0.213	μB/atom
DFT total energy	-4.86	eV/atom

The structure in extended XYZ format:
```
28
Lattice="6.8948 0.0000 0.0000 0.0000 6.8948 0.0000 0.0000 0.0000 9.7330" Properties=species:S:1:pos:R:3 pbc="T T T"
Al 0.0000 1.7513 0.0000
Al 0.0000 5.1435 4.8665
Al 1.7513 0.0000 7.2998
Al 5.1435 0.0000 2.4333
Co 1.7353 1.7353 3.6499
Co 1.7353 5.1595 1.2166
Co 5.1595 1.7353 6.0831
Co 5.1595 5.1595 8.5164
Cu 1.7290 3.4474 7.2998
Cu 3.4474 1.7290 0.0000
Cu 3.4474 5.1657 4.8665
Cu 5.1657 3.4474 2.4333
S 0.0694 1.7207 7.3326
S 0.0694 5.1740 7.2669
S 1.7207 0.0694 9.7002
S 1.7207 6.8254 4.8993
S 1.7340 3.4096 9.6876
S 1.7340 3.4851 4.9119
S 3.4096 1.7340 7.3452
S 3.4096 5.1608 7.2544
S 3.4851 1.7340 2.3879
S 3.4851 5.1608 2.4787
S 5.1608 3.4096 0.0454
S 5.1608 3.4851 4.8211
S 5.1740 0.0694 0.0328
S 5.1740 6.8254 4.8337
S 6.8254 1.7207 2.4004
S 6.8254 5.1740 2.4661
```

No. 4
Material: Sc2In3Hg3
Method: DFT, PBE-GGA
State: optimized geometry

Results
offset from the most stable computed form	0.0	meV/atom
spin magnetization	0.001	μB/atom

The structure in extended XYZ format:
```
8
Lattice="6.3797 0.0000 0.0000 0.0000 5.0913 0.0000 -3.1716 0.0000 5.5620" Properties=species:S:1:pos:R:3 pbc="T T T"
Sc 0.0000 0.0000 0.0000
Sc 0.0536 2.5456 3.7313
In 1.6876 2.5456 0.9521
In 3.2353 2.5456 3.6964
In 4.7631 0.0000 2.7335
Hg 1.5324 0.0000 2.8049
Hg -0.0009 0.0000 5.5067
Hg 4.9119 2.5456 0.8892
```